Er2BrN2, optimized geometry, DFT PBE; energy = -0.477 Ry per atom; V = 100.0 Å³/f.u.
1.0
-2.2527 2.2527 4.9278
2.2527 -2.2527 4.9278
2.2527 2.2527 -4.9278
Er Br N
2 1 2
Cartesian
2.2527 0.0000 2.4639
0.0000 2.2527 2.4639
0.0000 0.0000 0.0000
0.0000 0.0000 2.9822
0.0000 0.0000 6.8733